[1]
Material: KPdCl
Method: DFT, GGA-PBE
State: relaxed

Values from the calculation:
E_form (uncorrected) = -0.77 eV per atom
crystal system = monoclinic
offset from the most stable computed form = 4.3 kJ/mol of atoms

a = 11.6209 Å, b = 4.7166 Å, c = 6.6698 Å
α = 90.00°, β = 98.85°, γ = 90.00°
With the nearest neighbours (Å) after each atom.
Space group Cm (No. 8)
Symmetry-distinct sites (fractional):
K1 0.0000 0.0000 0.0000 [2 per cell]  4 Pd 3.20-3.57, 4 Cl 3.25-3.46
K2 0.2388 0.0000 0.6215 [2 per cell]  3 Cl 3.05-3.25, 3 Pd 3.31-3.37
Pd1 0.0404 0.5000 0.6317 [2 per cell]  2 Cl 2.30-2.36
Pd2 0.4494 0.5000 0.4584 [2 per cell]  2 Cl 2.52, 2 Pd 2.76
Cl1 0.1814 0.5000 0.9271 [2 per cell]  1 Pd 2.36
Cl2 0.4156 0.0000 0.3284 [2 per cell]  3 Pd 2.30-2.52



[2]
Material: Pm6Dy2In
Method: DFT, GGA-PBE
State: relaxed

Values from the calculation:
crystal system = orthorhombic
ΔH_f (0 K) = -0.01 eV per atom
offset from the most stable computed form = 8.5 kJ/mol of atoms

a = 9.7927 Å, b = 17.0302 Å, c = 3.4457 Å
α = 90.00°, β = 90.00°, γ = 90.00°
With the nearest neighbours (Å) after each atom.
Space group Cmmm (No. 65)
Symmetry-distinct sites (fractional):
Pm1 0.1639 0.1635 0.0000 [8 per cell]  5 Pm 3.19-3.45
Pm2 0.1765 0.5000 0.0000 [4 per cell]  5 Pm 3.19-3.46
Dy1 0.0000 0.3335 0.5000 [4 per cell]  2 Dy 3.45, 12 Pm 3.72-3.74
In1 0.0000 0.0000 0.5000 [2 per cell]  2 In 3.45, 12 Pm 3.61-3.65



[3]
Material: LiAc2ErTl6
Method: DFT, GGA-PBE
State: relaxed

Values from the calculation:
crystal system = monoclinic
ΔH_f (0 K) = -0.15 eV per atom

a = 10.7590 Å, b = 10.7667 Å, c = 7.5962 Å
α = 90.00°, β = 134.90°, γ = 90.00°
With the nearest neighbours (Å) after each atom.
Space group C2/m (No. 12)
Symmetry-distinct sites (fractional):
Li1 0.0000 0.0000 0.0000 [2 per cell]  6 Tl 2.49
Ac1 0.0000 0.2494 0.5000 [4 per cell]  12 Tl 3.78-3.84
Er1 0.0000 0.5000 0.0000 [2 per cell]  6 Tl 2.89-2.90
Tl1 0.0000 0.2309 0.0000 [4 per cell]  1 Li 2.49
Tl2 0.2280 0.0000 0.4619 [4 per cell]  1 Li 2.49
Tl3 0.2361 0.0000 0.0097 [4 per cell]  1 Li 2.49



[4]
Material: CuSnIrPd
Method: DFT, GGA-PBE
State: relaxed

Values from the calculation:
crystal system = cubic
ΔH_f (0 K) = -0.18 eV per atom

a = 6.3012 Å, b = 6.3012 Å, c = 6.3012 Å
α = 90.00°, β = 90.00°, γ = 90.00°
With the nearest neighbours (Å) after each atom.
Space group F-43m (No. 216)
Symmetry-distinct sites (fractional):
Cu1 0.0000 0.0000 0.0000 [4 per cell]  4 Ir 2.73, 4 Pd 2.73
Sn1 0.0000 0.0000 0.5000 [4 per cell]  4 Pd 2.73, 4 Ir 2.73
Ir1 0.2500 0.2500 0.2500 [4 per cell]  4 Sn 2.73, 4 Cu 2.73
Pd1 0.2500 0.2500 0.7500 [4 per cell]  4 Cu 2.73, 4 Sn 2.73



[5]
Material: BaCu2As6P2
Method: DFT, GGA-PBE
State: relaxed

Values from the calculation:
crystal system = triclinic
ΔH_f (0 K) = -0.10 eV per atom

a = 5.9014 Å, b = 7.1537 Å, c = 7.1667 Å
α = 105.70°, β = 101.77°, γ = 110.63°
With the nearest neighbours (Å) after each atom.
Space group P-1 (No. 2)
Symmetry-distinct sites (fractional):
Ba1 0.0000 0.0000 0.0000 [1 per cell]  2 As 3.28, 2 Cu 3.53
Cu1 0.1858 0.6898 0.6440 [2 per cell]  4 As 2.40-2.59
As1 0.2092 0.5096 0.8855 [2 per cell]  2 P 2.40-2.42, 1 Cu 2.43
As2 0.2193 0.9812 0.5300 [2 per cell]  1 P 2.40, 1 Cu 2.40, 1 As 2.66
As3 0.2934 0.4659 0.3851 [2 per cell]  1 P 2.32, 1 As 2.45, 2 Cu 2.45-2.59
P1 0.4758 0.3398 0.7785 [2 per cell]  4 As 2.32-2.42



[6]
Material: UCoC2
Method: DFT, GGA-PBE
State: relaxed

Values from the calculation:
crystal system = tetragonal
ΔH_f (0 K) = -0.16 eV per atom

a = 3.4804 Å, b = 3.4804 Å, c = 7.2823 Å
α = 90.00°, β = 90.00°, γ = 90.00°
With the nearest neighbours (Å) after each atom.
Space group P4/nmm (No. 129, origin choice 2)
Symmetry-distinct sites (fractional):
U1 0.2500 0.2500 0.1808 [2 per cell]  5 C 2.34-2.48
Co1 0.2500 0.7500 0.5000 [2 per cell]  4 C 2.08
C1 0.2500 0.2500 0.6573 [2 per cell]  1 C 1.47
C2 0.2500 0.2500 0.8594 [2 per cell]  1 C 1.47



Number 1: total energy -3.49 eV per atom. Number 2: total energy -4.50 eV per atom. Number 3: total energy -3.04 eV per atom. Number 4: total energy -5.72 eV per atom. Number 5: total energy -4.54 eV per atom. Number 6: total energy -9.37 eV per atom.